DFT (PBE) results for crystalline TbInCo at its relaxed geometry.

Summary:
Electronic total energy   -4.962 eV/atom

Cell: 6.4391 6.4391 6.4391 Å, 90.00 90.00 90.00°
Last column: nearest neighbours and their distance in Å.
Space group F-43m (No. 216)
Unique sites:
Tb1 0.0000 0.0000 0.0000 [4 per cell]  4 Co 2.79
In1 0.0000 0.0000 0.5000 [4 per cell]  4 Co 2.79
Co1 0.2500 0.2500 0.7500 [4 per cell]  4 Tb 2.79, 4 In 2.79